{"formula": "InPd4", "functional": "PBE-GGA", "state": "optimized geometry", "lattice_angstrom": [[4.717, 0.000, 0.000], [0.000, 4.943, -0.698], [0.000, -1.956, 7.295]], "species": ["In", "Pd", "Pd", "Pd", "Pd", "Pd", "In", "Pd", "Pd", "Pd"], "fractional_positions": [[0.000, 0.000, 0.000], [0.000, 0.407, 0.801], [0.500, 0.800, 0.100], [0.500, 0.200, 0.900], [0.500, 0.407, 0.301], [0.500, 0.593, 0.699], [0.500, 0.000, 0.500], [0.000, 0.800, 0.600], [0.000, 0.200, 0.400], [0.000, 0.593, 0.199]], "magnetic_moment_mub_per_cell": 0.000, "formation_energy_mev_per_atom": -326.5, "polymorph_energy_ev_per_fu": 0.000, "space_group": "C2/m", "dft_energy_ev_per_atom": -5.03}

***

{"formula": "CuAs2P", "functional": "PBE-GGA", "state": "optimized geometry", "lattice_angstrom": [[3.506, 0.000, 0.000], [0.000, 2.663, 0.299], [0.000, 1.015, 7.413]], "species": ["As", "Cu", "P", "As"], "fractional_positions": [[0.000, 0.919, 0.494], [0.500, 0.250, 0.250], [0.500, 0.750, 0.750], [0.000, 0.581, 0.006]], "magnetic_moment_mub_per_cell": 0.000, "formation_energy_mev_per_atom": 208.2, "space_group": "P2/m", "dft_energy_ev_per_atom": -4.49}

***

{"formula": "MgMnMoH", "functional": "PBE-GGA", "state": "optimized geometry", "lattice_angstrom": [[-2.312, 1.077, -1.682], [-1.901, -0.608, 2.224], [1.617, 9.819, 4.066]], "species": ["H", "Mn", "Mo", "Mo", "H", "Mn", "Mg", "Mg"], "fractional_positions": [[0.500, 0.000, 0.811], [0.500, 0.500, 0.532], [0.000, 0.000, 0.414], [0.500, 0.500, 0.914], [0.000, 0.500, 0.311], [0.000, 0.000, 0.032], [0.000, 0.000, 0.698], [0.500, 0.500, 0.198]], "magnetic_moment_mub_per_cell": 0.762, "polymorph_energy_ev_per_fu": 0.243, "space_group": "Imm2", "dft_energy_ev_per_atom": -6.10}

***

{"formula": "CaTeRu", "functional": "PBE-GGA", "state": "optimized geometry", "lattice_angstrom": [[4.620, 0.000, 0.000], [2.310, 4.001, 0.000], [2.310, 1.334, 3.772]], "species": ["Te", "Ca", "Ru"], "fractional_positions": [[0.000, 0.000, 0.000], [0.500, 0.500, 0.500], [0.750, 0.750, 0.750]], "magnetic_moment_mub_per_cell": 0.000, "polymorph_energy_ev_per_fu": 0.427, "space_group": "F-43m", "dft_energy_ev_per_atom": -5.06, "formation_energy_uncorrected_ev_per_atom": -0.25}

***

{"formula": "TbHfTlCd", "functional": "PBE-GGA", "state": "optimized geometry", "lattice_angstrom": [[5.150, 0.000, 0.000], [2.575, 4.460, 0.000], [2.575, 1.487, 4.205]], "species": ["Tl", "Tb", "Cd", "Hf"], "fractional_positions": [[0.250, 0.250, 0.250], [0.500, 0.500, 0.500], [0.750, 0.750, 0.750], [0.000, 0.000, 0.000]], "magnetic_moment_mub_per_cell": 0.000, "formation_energy_mev_per_atom": -54.1, "space_group": "F-43m", "dft_energy_ev_per_atom": -4.52}

***

{"formula": "MgIn2S4", "functional": "PBE-GGA", "state": "optimized geometry", "lattice_angstrom": [[-2.719, -1.428, 3.846], [3.865, 0.656, 2.976], [-1.261, 5.834, 4.423]], "species": ["S", "In", "In", "Mg", "S", "S", "S"], "fractional_positions": [[0.800, 0.800, 0.399], [0.380, 0.380, 0.240], [0.620, 0.620, 0.760], [0.000, 0.000, 0.000], [0.000, 0.500, 0.000], [0.200, 0.200, 0.601], [0.500, 0.000, 0.000]], "magnetic_moment_mub_per_cell": 0.499, "space_group": "I4/mmm", "dft_energy_ev_per_atom": -3.66, "formation_energy_uncorrected_ev_per_atom": -0.29}

***

{"formula": "SrMgPH2", "functional": "PBE-GGA", "state": "optimized geometry", "lattice_angstrom": [[4.189, 0.000, 0.000], [-2.094, 5.742, 0.000], [0.000, 0.000, 6.464]], "species": ["H", "P", "H", "H", "H", "Sr", "Mg", "Sr", "Mg", "P"], "fractional_positions": [[0.835, 0.670, 0.439], [0.550, 0.100, 0.250], [0.835, 0.670, 0.061], [0.165, 0.330, 0.939], [0.165, 0.330, 0.561], [0.278, 0.557, 0.250], [0.000, 0.000, 0.000], [0.722, 0.443, 0.750], [0.000, 0.000, 0.500], [0.450, 0.900, 0.750]], "magnetic_moment_mub_per_cell": 0.000, "space_group": "Cmcm", "dft_energy_ev_per_atom": -3.57}

***

{"formula": "PrDy3Au2", "functional": "PBE-GGA", "state": "optimized geometry", "lattice_angstrom": [[5.003, 0.000, 0.000], [0.000, 7.220, 0.000], [0.000, 0.000, 9.028]], "species": ["Au", "Dy", "Dy", "Dy", "Pr", "Au", "Dy", "Au", "Dy", "Au", "Dy", "Pr"], "fractional_positions": [[0.000, 0.752, 0.342], [0.000, 0.350, 0.329], [0.000, 0.850, 0.671], [0.000, 0.488, 0.929], [0.500, 0.011, 0.426], [0.000, 0.252, 0.658], [0.000, 0.988, 0.071], [0.500, 0.249, 0.146], [0.500, 0.149, 0.833], [0.500, 0.749, 0.854], [0.500, 0.649, 0.167], [0.500, 0.511, 0.574]], "magnetic_moment_mub_per_cell": 0.000, "formation_energy_mev_per_atom": -608.4, "polymorph_energy_ev_per_fu": 0.000, "space_group": "Pmc2_1", "dft_energy_ev_per_atom": -4.80}